Record 1
# AgTe4Pd2 (PBE, relaxed)
data_AgTe4Pd2
_cell_length_a 8.183
_cell_length_b 8.183
_cell_length_c 8.145
_cell_angle_alpha 119.94
_cell_angle_beta 119.94
_cell_angle_gamma 90.32
_symmetry_space_group_name_H-M 'P 1'
_symmetry_Int_Tables_number 1
loop_
_symmetry_equiv_pos_as_xyz
'x,y,z'
loop_
_atom_site_label
_atom_site_type_symbol
_atom_site_fract_x
_atom_site_fract_y
_atom_site_fract_z
Ag1 Ag 0.250 0.750 0.500
Ag2 Ag 0.000 0.000 0.000
Te1 Te 0.859 0.140 0.277
Te2 Te 0.391 0.610 0.223
Te3 Te 0.863 0.582 0.723
Te4 Te 0.860 0.141 0.723
Te5 Te 0.418 0.137 0.277
Te6 Te 0.387 0.168 0.777
Te7 Te 0.390 0.609 0.777
Te8 Te 0.832 0.613 0.223
Pd1 Pd 0.625 0.375 0.750
Pd2 Pd 0.625 0.875 0.250
Pd3 Pd 0.625 0.375 0.250
Pd4 Pd 0.125 0.375 0.750
# DFT total energy in eV/atom: -3.92
# Symmetry: No. 70

Record 2
# NbBiRh (PBE, relaxed)
data_NbBiRh
_cell_length_a 3.131
_cell_length_b 4.938
_cell_length_c 9.290
_cell_angle_alpha 91.40
_cell_angle_beta 99.69
_cell_angle_gamma 108.47
_symmetry_space_group_name_H-M 'P 1'
_symmetry_Int_Tables_number 1
loop_
_symmetry_equiv_pos_as_xyz
'x,y,z'
loop_
_atom_site_label
_atom_site_type_symbol
_atom_site_fract_x
_atom_site_fract_y
_atom_site_fract_z
Nb1 Nb 0.382 0.936 0.254
Nb2 Nb 0.571 0.476 0.089
Bi1 Bi 0.207 0.091 0.744
Bi2 Bi 0.754 0.511 0.422
Rh1 Rh 0.000 0.558 0.865
Rh2 Rh 0.807 0.019 0.016
# DFT total energy in eV/atom: -7.15
# Symmetry: No. 1

Record 3
# Cs2RbAgCl6 (PBE, relaxed)
data_Cs2RbAgCl6
_cell_length_a 7.969
_cell_length_b 7.969
_cell_length_c 7.968
_cell_angle_alpha 59.99
_cell_angle_beta 59.99
_cell_angle_gamma 90.00
_symmetry_space_group_name_H-M 'P 1'
_symmetry_Int_Tables_number 1
loop_
_symmetry_equiv_pos_as_xyz
'x,y,z'
loop_
_atom_site_label
_atom_site_type_symbol
_atom_site_fract_x
_atom_site_fract_y
_atom_site_fract_z
Cs1 Cs 0.750 0.250 0.500
Cs2 Cs 0.250 0.750 0.500
Rb1 Rb 0.500 0.500 0.000
Ag1 Ag 0.000 0.000 0.000
Cl1 Cl 0.224 0.224 0.552
Cl2 Cl 0.776 0.776 0.448
Cl3 Cl 0.224 0.224 0.000
Cl4 Cl 0.776 0.776 0.000
Cl5 Cl 0.776 0.224 0.000
Cl6 Cl 0.224 0.776 0.000
# DFT total energy in eV/atom: -2.91
# Symmetry: No. 225